[1]
This record from Alexandria via LeMat-Bulk describes MgBe2AuO after structural relaxation. The functional is PBE.

abc: 3.513 3.513 5.911
angles: 90.00 90.00 90.00
Sites, in units of the cell vectors:
Mg1 0.000 0.000 0.000
Be1 0.000 0.500 0.500
Be2 0.500 0.000 0.500
Au1 0.500 0.500 0.000
O1 0.500 0.500 0.500

Values from the calculation:
Calculated volume = 14.595 A^3/atom
Uncorrected formation energy = -0.362 eV per atom
M_tot = 0.000 μB/cell
SG = P4/mmm, No. 123

---

[2]
This record from Alexandria via LeMat-Bulk describes Mg2BePdAu after structural relaxation. The functional is PBE.

abc: 4.981 4.981 4.272
angles: 90.00 90.00 90.00
Sites, in units of the cell vectors:
Mg1 0.000 0.500 0.000
Mg2 0.500 0.000 0.000
Be1 0.000 0.000 0.500
Pd1 0.500 0.500 0.500
Au1 0.000 0.000 0.000

Values from the calculation:
Calculated volume = 21.199 A^3/atom
Formation enthalpy at 0 K = 184 meV per atom
M_tot = 0.000 μB/cell
SG = P4/mmm, No. 123

---

[3]
This record from Alexandria via LeMat-Bulk describes PmMg2BeAu4 after structural relaxation. The functional is PBE.

abc: 8.890 8.890 8.890
angles: 29.68 29.68 29.68
Sites, in units of the cell vectors:
Pm1 0.000 0.000 0.000
Mg1 0.240 0.240 0.240
Mg2 0.760 0.760 0.760
Be1 0.500 0.500 0.500
Au1 0.133 0.133 0.133
Au2 0.402 0.402 0.402
Au3 0.598 0.598 0.598
Au4 0.867 0.867 0.867

Values from the calculation:
Calculated volume = 19.072 A^3/atom
Formation enthalpy at 0 K = -497 meV per atom
M_tot = 0.000 μB/cell
SG = R-3m, No. 166

---

[4]
This record from Alexandria via LeMat-Bulk describes PrMgBe2Au5 after structural relaxation. The functional is PBE.

abc: 4.678 4.678 7.522
angles: 90.00 90.00 90.00
Sites, in units of the cell vectors:
Pr1 0.000 0.000 0.000
Mg1 0.000 0.000 0.500
Be1 0.500 0.500 0.333
Be2 0.500 0.500 0.667
Au1 0.000 0.500 0.287
Au2 0.000 0.500 0.713
Au3 0.500 0.000 0.287
Au4 0.500 0.000 0.713
Au5 0.500 0.500 0.000

Values from the calculation:
Calculated volume = 18.291 A^3/atom
Formation enthalpy at 0 K = -365 meV per atom
M_tot = 0.000 μB/cell
SG = P4/mmm, No. 123

---

Look up the M_tot of the second one.
0.000 μB/cell

---

calculated volume of number 1 (MgBe2AuO)?
14.595 A^3/atom

---

Look up the calculated volume of the first one.
14.595 A^3/atom

---

Which formula does entry 4 have?
PrMgBe2Au5